A plane-wave DFT calculation with GGA-PBE was carried out for crystalline ScGaS2Cl at its relaxed geometry.

a b c (Å): 4.759 4.759 4.652
angles (deg): 90.00 90.00 90.00
Site moments in Bohr magnetons follow the coordinates.
Fractional coordinates of all 5 atoms:
Ga  0.000  0.000  0.000  0.02
Cl  0.000  0.000  0.500  -0.01
Sc  0.500  0.500  0.500  0.50
S  0.000  0.500  0.000  -0.02
S  0.500  0.000  0.000  -0.02

Properties
Space group: P4/mmm, No. 123
DFT total energy in eV per cell: -21.9
Excess energy over the best structure of this formula in the dataset in meV per atom: 422
Formation energy without anion corrections in kcal/mol of atoms: -11.31